No. 1
BaNaIn2 | PBE | optimized geometry

```
BaNaIn2
1.0
5.728 0.000 0.000
0.000 5.728 0.000
0.000 0.000 4.219
Ba Na In
1 1 2
Cartesian
0.000 0.000 0.000 Ba
2.864 2.864 0.000 Na
0.000 2.864 2.109 In
2.864 0.000 2.109 In
```

Calculated values
* distance to the lowest polymorph of the same formula: 60 meV per atom
* formation enthalpy at 0 K: -186 meV per atom
* volume: 138.4 Å³ per cell
* magnetization: 0.00 μB per atom
* final energy: -2.366 eV/atom
* DOS(E_F): 2.3 states/eV per cell

No. 2
RbSrSn2O | PBE | optimized geometry

```
RbSrSn2O
1.0
5.008 0.000 0.000
0.000 5.008 0.000
0.000 0.000 5.469
Rb Sr Sn O
1 1 2 1
Cartesian
0.000 0.000 0.000 Rb
2.504 2.504 0.000 Sr
0.000 2.504 2.735 Sn
2.504 0.000 2.735 Sn
0.000 0.000 2.735 O
```

Calculated values
* raw formation energy: -44.4 kJ/mol of atoms
* volume: 137.2 Å³ per cell
* magnetization: 0.00 μB per atom
* final energy: -3.583 eV/atom
* DOS(E_F): 2.8 states/eV per cell

No. 3
SrAc14Tb | PBE | optimized geometry

```
SrAc14Tb
1.0
11.225 0.000 0.000
0.000 5.639 5.639
0.000 -5.639 5.639
Sr Ac Tb
1 14 1
Cartesian
0.000 0.000 0.000 Sr
0.000 2.815 8.460 Ac
0.000 -2.815 8.460 Ac
2.795 0.000 2.879 Ac
2.800 -2.762 5.639 Ac
2.800 2.762 5.639 Ac
2.803 0.000 8.399 Ac
5.612 0.000 11.277 Ac
5.612 -2.815 2.819 Ac
5.612 2.815 2.819 Ac
5.612 0.000 5.639 Ac
8.422 0.000 8.399 Ac
8.430 0.000 2.879 Ac
8.425 -2.762 5.639 Ac
8.425 2.762 5.639 Ac
0.000 0.000 5.641 Tb
```

Calculated values
* formation enthalpy at 0 K: 34 meV per atom
* volume: 714.0 Å³ per cell
* magnetization: 0.00 μB per atom
* final energy: -3.955 eV/atom
* DOS(E_F): 27.9 states/eV per cell